Density functional theory data (PBE) for Pr9Fe2I14 after structural relaxation.

- symmetry = No. 147
- raw formation energy (eV per formula unit) = -23.1
- E_tot (eV for the cell shown) = -104.733

abc: 9.340 9.340 12.818
angles: 90.00 90.00 120.00
Site moments in Bohr magnetons follow the coordinates.
Sites, in units of the cell vectors:
Pr (0.291, 0.895, 0.335)  0.22
Pr (0.105, 0.396, 0.335)  0.22
Pr (0.333, 0.667, 0.071)  0.24
Pr (0.000, 0.000, 0.000)  0.22
Pr (0.396, 0.291, 0.665)  0.22
Pr (0.604, 0.709, 0.335)  0.22
Pr (0.667, 0.333, 0.929)  0.24
Pr (0.895, 0.604, 0.665)  0.22
Pr (0.709, 0.105, 0.665)  0.22
Fe (0.333, 0.667, 0.267)  0.49
Fe (0.667, 0.333, 0.733)  0.49
I (0.047, 0.684, 0.908)  0.00
I (0.312, 0.912, 0.598)  0.00
I (0.088, 0.400, 0.598)  0.00
I (0.000, 0.000, 0.257)  0.00
I (0.000, 0.000, 0.743)  0.00
I (0.316, 0.363, 0.908)  0.00
I (0.637, 0.953, 0.908)  0.00
I (0.400, 0.312, 0.402)  0.00
I (0.600, 0.688, 0.598)  0.00
I (0.363, 0.047, 0.092)  0.00
I (0.684, 0.637, 0.092)  0.00
I (0.912, 0.600, 0.402)  0.00
I (0.688, 0.088, 0.402)  0.00
I (0.953, 0.316, 0.092)  0.00